1.
Entry from Alexandria via LeMat-Bulk: crystalline NaScTi at its relaxed geometry (PBE).

```
6
Lattice="3.0790 0.0000 -0.0037 0.0000 4.8276 0.0000 -1.4229 0.0000 9.8627" Properties=species:S:1:pos:R:3 pbc="T T T"
Ti -0.3039 2.4138 9.8566
Sc 1.2349 2.4138 7.1748
Ti 2.6639 0.0000 1.0275
Na 1.1823 2.4138 3.0878
Na -0.3193 0.0000 4.9900
Sc -0.3012 0.0000 8.4398
```

## Properties
relative energy among the computed polymorphs: 0.198 eV/atom
total DFT energy (no corrections): -29.2 eV/cell
energy relative to the elements: 0.310 eV per atom
space-group type: Pm

---

2.
Entry from Alexandria via LeMat-Bulk: crystalline NaScTi at its relaxed geometry (PBE).

```
6
Lattice="-4.3462 -0.6961 -0.0015 0.2257 -1.4006 -4.1667 1.2733 -7.9556 2.7433" Properties=species:S:1:pos:R:3 pbc="T T T"
Sc 0.6366 -3.9778 1.3716
Ti 1.0603 -6.6198 -0.0422
Na -1.0867 -7.1364 2.3400
Sc -1.4236 -5.0262 -0.7125
Ti -1.8472 -2.3842 0.7014
Na 0.2997 -1.8676 -1.6809
```

## Properties
relative energy among the computed polymorphs: 0.637 eV/atom
total DFT energy (no corrections): -26.6 eV/cell
energy relative to the elements: 0.750 eV per atom
space-group type: P4/nmm

---

3.
Entry from Alexandria via LeMat-Bulk: crystalline NaScTi at its relaxed geometry (PBE).

```
12
Lattice="-8.5447 2.0338 0.9911 -1.5644 -4.5714 -4.1066 -0.3484 -3.3407 3.8515" Properties=species:S:1:pos:R:3 pbc="T T T"
Na -1.9885 -2.4750 1.0648
Na -4.0225 -2.7509 -2.7488
Ti -7.2208 -5.4122 1.4319
Na -6.4349 -3.1274 3.4848
Sc -4.4465 -0.6535 2.4213
Sc 0.0000 0.0000 0.0000
Sc -5.2287 -2.9392 0.3680
Ti -2.7743 -4.7599 -0.9880
Na -8.4689 -3.4033 -0.3288
Ti -3.2367 -0.4662 -0.6959
Ti -7.6831 -1.1184 1.7240
Sc -0.7822 -2.2857 -2.0533
```

## Properties
relative energy among the computed polymorphs: 0.643 eV/atom
total DFT energy (no corrections): -53.1 eV/cell
energy relative to the elements: 0.755 eV per atom
space-group type: P6_3/mmc

---

4.
Entry from Alexandria via LeMat-Bulk: crystalline NaSc2Ti at its relaxed geometry (PBE).

```
4
Lattice="3.1492 0.0000 0.0000 1.5746 2.7273 0.0000 1.5746 0.9091 11.3086" Properties=species:S:1:pos:R:3 pbc="T T T"
Sc 1.5746 0.9091 8.0124
Ti 3.1492 1.8182 5.6543
Na 0.0000 0.0000 0.0000
Sc 4.7238 2.7273 3.2962
```

## Properties
relative energy among the computed polymorphs: 0.000 eV/atom
total DFT energy (no corrections): -21.0 eV/cell
energy relative to the elements: 0.227 eV per atom
space-group type: R-3m

---

5.
Entry from Alexandria via LeMat-Bulk: crystalline NaScTi at its relaxed geometry (PBE).

```
6
Lattice="-4.5533 1.3138 -2.5453 1.4345 -0.3316 -2.7374 -0.7198 -8.5957 0.6640" Properties=species:S:1:pos:R:3 pbc="T T T"
Sc -4.1961 -5.7155 -1.5067
Na -0.3106 -3.5010 0.2613
Ti 0.4361 -0.5982 -1.4636
Ti -2.5859 0.2253 -1.3824
Na -1.8651 -2.9950 -2.3793
Sc -1.2086 -6.5539 -1.6042
```

## Properties
relative energy among the computed polymorphs: 0.201 eV/atom
total DFT energy (no corrections): -29.2 eV/cell
energy relative to the elements: 0.313 eV per atom
space-group type: Pm

---

6.
Entry from Alexandria via LeMat-Bulk: crystalline NaScTi at its relaxed geometry (PBE).

```
6
Lattice="-2.0920 -1.1484 1.9566 2.1010 -1.9850 1.0812 4.2116 10.1588 10.4660" Properties=species:S:1:pos:R:3 pbc="T T T"
Ti 4.1824 10.0881 10.3932
Sc 1.2525 3.0212 3.1126
Na 2.0537 3.3760 6.6111
Ti 3.7028 7.3539 10.7093
Sc 0.5949 -0.1426 2.9861
Na 2.9388 7.0887 7.3031
```

## Properties
relative energy among the computed polymorphs: 0.094 eV/atom
total DFT energy (no corrections): -29.9 eV/cell
energy relative to the elements: 0.206 eV per atom
space-group type: P4mm

---

7.
Entry from Alexandria via LeMat-Bulk: crystalline NaScTi at its relaxed geometry (PBE).

```
6
Lattice="-3.0642 0.2392 -0.4976 -1.5792 -5.4059 7.1257 1.6793 5.1422 1.8535" Properties=species:S:1:pos:R:3 pbc="T T T"
Na -1.3308 1.8516 3.4353
Na -3.1480 -0.8249 3.5959
Sc -2.0717 -3.8808 5.2367
Ti -2.1095 -1.2458 6.7335
Sc 0.6565 4.6715 2.2918
Ti -2.3702 2.2759 0.2969
```

## Properties
relative energy among the computed polymorphs: 0.159 eV/atom
total DFT energy (no corrections): -29.5 eV/cell
energy relative to the elements: 0.271 eV per atom
space-group type: P-1

---

8.
Entry from Alexandria via LeMat-Bulk: crystalline NaScTi3 at its relaxed geometry (PBE).

```
5
Lattice="-1.6456 -3.7509 -2.7397 4.6429 -1.2443 -1.0852 0.1342 -2.9437 3.9496" Properties=species:S:1:pos:R:3 pbc="T T T"
Ti -0.8228 -1.8754 -1.3698
Sc 0.0000 0.0000 0.0000
Ti 0.0671 -1.4719 1.9748
Ti 2.3215 -0.6222 -0.5426
Na 1.5658 -3.9695 0.0623
```

## Properties
relative energy among the computed polymorphs: 0.000 eV/atom
total DFT energy (no corrections): -25.0 eV/cell
energy relative to the elements: 1.258 eV per atom
space-group type: Pm-3m

---

9.
Entry from Alexandria via LeMat-Bulk: crystalline NaScTi at its relaxed geometry (PBE).

```
6
Lattice="4.6387 -2.6782 0.0000 0.0000 5.3563 0.0000 0.0000 0.0000 5.7273" Properties=species:S:1:pos:R:3 pbc="T T T"
Na 0.0000 0.0000 2.8636
Na 0.0000 0.0000 0.0000
Sc 1.5462 2.6782 4.2954
Ti 3.0925 0.0000 4.2954
Ti 1.5462 2.6782 1.4318
Sc 3.0925 0.0000 1.4318
```

## Properties
relative energy among the computed polymorphs: 0.551 eV/atom
total DFT energy (no corrections): -27.1 eV/cell
energy relative to the elements: 0.663 eV per atom
space-group type: P6_3/mmc

---

10.
Entry from Alexandria via LeMat-Bulk: crystalline NaScTi at its relaxed geometry (PBE).

```
6
Lattice="-10.4379 -6.9899 11.1202 -1.3730 -2.0713 -1.9179 2.7080 -0.7350 1.4071" Properties=species:S:1:pos:R:3 pbc="T T T"
Na -3.2623 -4.4460 6.1908
Sc -1.7178 -2.7014 0.6427
Ti -9.8265 -7.9349 8.2011
Sc -4.4215 -4.1575 1.5757
Na -6.9850 -6.3836 7.1051
Ti -9.5152 -8.2835 10.9299
```

## Properties
relative energy among the computed polymorphs: 0.110 eV/atom
total DFT energy (no corrections): -29.8 eV/cell
energy relative to the elements: 0.222 eV per atom
space-group type: Cm

---

11.
Entry from Alexandria via LeMat-Bulk: crystalline NaScTi at its relaxed geometry (PBE).

```
3
Lattice="2.8406 -0.6279 4.1323 3.3333 3.5546 1.3389 -0.8392 2.8358 4.0979" Properties=species:S:1:pos:R:3 pbc="T T T"
Ti 2.6673 2.8812 4.7845
Sc 4.0010 4.3218 7.1768
Na 1.3337 1.4406 2.3923
```

## Properties
relative energy among the computed polymorphs: 1.077 eV/atom
total DFT energy (no corrections): -12.0 eV/cell
energy relative to the elements: 1.190 eV per atom
space-group type: F-43m

---

12.
Entry from Alexandria via LeMat-Bulk: crystalline NaScTi at its relaxed geometry (PBE).

```
6
Lattice="-13.7169 6.1811 9.6824 -5.6550 4.5841 1.7676 3.8350 -4.9492 -4.1128" Properties=species:S:1:pos:R:3 pbc="T T T"
Na -1.6617 -0.9487 -0.4700
Na -10.7883 3.0104 5.9962
Ti -13.1041 6.5813 7.2374
Ti -4.1312 2.8623 0.8531
Sc -6.3417 1.0746 2.8468
Sc -8.8424 4.8443 4.2006
```

## Properties
relative energy among the computed polymorphs: 0.357 eV/atom
total DFT energy (no corrections): -28.3 eV/cell
energy relative to the elements: 0.470 eV per atom
space-group type: Cm